ThTlTc | OQMD | PBE | optimized geometry; relative energy among the computed polymorphs = 0.0000 eV per atom
1.0
0.0000 3.4340 3.4340
3.4340 0.0000 3.4340
3.4340 3.4340 0.0000
Th Tl Tc
1 1 1
Direct
0.0000 0.0000 0.0000
0.7500 0.7500 0.7500
0.5000 0.5000 0.5000

---

Th6Tl2Tc | OQMD | PBE | optimized geometry; calculated total energy = -60.99 eV per formula unit
1.0
8.9457 0.0000 0.0000
-4.4728 7.7472 0.0000
0.0000 0.0000 3.8111
Th Tl Tc
6 2 1
Direct
0.0000 0.3914 0.0000
0.0000 0.7568 0.5000
0.2432 0.2432 0.5000
0.3914 0.0000 0.0000
0.6086 0.6086 0.0000
0.7568 0.0000 0.5000
0.3333 0.6667 0.5000
0.6667 0.3333 0.5000
0.0000 0.0000 0.0000